# TbTh3Pt12

An optimized crystal structure of TbTh3Pt12 (GGA-PBE, Alexandria via LeMat-Bulk).

The value obtained for the electronic total energy is -7.3178 eV/atom. The calculation puts the formation enthalpy at 0 K at -1.11 eV/atom.

The structure belongs to space group P4/mmm (No. 123); the cell edges are 4.2089, 4.2089 and 16.8381 Å and the angles 90.00°, 90.00° and 90.00°. The distinct sites, in fractional coordinates, are Tb at (0.0000, 0.0000, 0.0000), Th at (0.0000, 0.0000, 0.2451), Th at (0.0000, 0.0000, 0.5000), Pt at (0.0000, 0.5000, 0.1222), Pt at (0.0000, 0.5000, 0.3738), Pt at (0.5000, 0.5000, 0.0000), Pt at (0.5000, 0.5000, 0.2486) and Pt at (0.5000, 0.5000, 0.5000).